[1]
4
Lattice="-1.365 1.899 -4.840 -3.553 -3.765 -0.475 -3.557 3.078 2.211" Properties=species:S:1:pos:R:3 comment="SrEu2In PBE relaxed" relative_energy_ev_per_atom=0.0597 spacegroup="P4/mmm (123)" formation_energy_ev_per_atom=-0.17 pbc="T T T"
In -0.683 0.950 -2.420
Sr -4.238 0.607 -1.552
Eu -1.776 -1.882 -0.238
Eu -1.779 1.539 1.106

[2]
6
Lattice="-2.927 5.511 0.397 -2.342 2.674 -5.144 -6.191 0.318 -0.817" Properties=species:S:1:pos:R:3 comment="SrEuIn4 PBE relaxed" spacegroup="F-43m (216)" formation_energy_ev_per_atom=-0.40 pbc="T T T"
Eu 0.000 0.000 0.000
In -5.699 2.556 -3.677
In -7.165 5.316 -3.478
In -5.992 3.977 -0.902
In -4.064 5.157 -3.069
Sr -2.865 2.126 -1.391

[3]
4
Lattice="-3.245 -0.744 2.025 -0.040 -2.876 2.629 2.596 6.850 10.421" Properties=species:S:1:pos:R:3 comment="SrEu2In PBE relaxed" relative_energy_ev_per_atom=0.2088 spacegroup="R-3m (166)" formation_energy_ev_per_atom=-0.02 pbc="T T T"
Eu 1.492 4.441 7.769
Eu -2.181 -1.211 7.306
Sr 0.000 0.000 0.000
In -0.344 1.615 7.538

[4]
4
Lattice="4.051 0.000 0.000 0.000 4.051 0.000 0.000 0.000 9.689" Properties=species:S:1:pos:R:3 comment="SrEu2In PBE relaxed" relative_energy_ev_per_atom=0.0000 spacegroup="P4/mmm (123)" formation_energy_ev_per_atom=-0.23 pbc="T T T"
Sr 2.026 2.026 4.844
Eu 0.000 0.000 1.829
Eu 0.000 0.000 7.860
In 2.026 2.026 0.000

[5]
4
Lattice="-3.356 -0.099 -4.820 -5.182 -2.766 0.085 -4.987 3.100 -0.171" Properties=species:S:1:pos:R:3 comment="SrEu2In PBE relaxed" relative_energy_ev_per_atom=0.0756 spacegroup="Fm-3m (225)" formation_energy_ev_per_atom=-0.15 pbc="T T T"
Sr -6.762 0.117 -2.453
In 0.000 0.000 0.000
Eu -3.381 0.059 -1.227
Eu -10.143 0.176 -3.680

[6]
4
Lattice="5.571 0.000 0.000 2.786 4.825 0.000 2.786 1.608 4.549" Properties=species:S:1:pos:R:3 comment="SrEuZnIn PBE relaxed" spacegroup="F-43m (216)" formation_energy_ev_per_atom=-0.32 pbc="T T T"
In 2.786 1.608 1.137
Eu 0.000 0.000 0.000
Zn 8.357 4.825 3.412
Sr 5.571 3.216 2.274

[7]
4
Lattice="-2.900 4.802 -0.799 -5.378 -0.200 -1.774 -4.203 1.393 3.536" Properties=species:S:1:pos:R:3 comment="TbEu2In PBE relaxed" relative_energy_ev_per_atom=0.1056 spacegroup="Fm-3m (225)" formation_energy_ev_per_atom=-0.10 pbc="T T T"
Tb 0.000 0.000 0.000
Eu -9.361 4.496 0.722
Eu -3.120 1.499 0.241
In -6.241 2.997 0.481

[8]
4
Lattice="3.705 0.000 0.000 0.000 3.705 0.000 0.000 0.000 9.808" Properties=species:S:1:pos:R:3 comment="TbEu2In PBE relaxed" relative_energy_ev_per_atom=0.0539 spacegroup="P4/mmm (123)" formation_energy_ev_per_atom=-0.15 pbc="T T T"
Eu 0.000 0.000 7.605
Eu 0.000 0.000 2.202
Tb 1.852 1.852 4.904
In 1.852 1.852 0.000

[9]
4
Lattice="-2.684 1.123 -4.331 1.490 -4.233 -2.021 -3.949 -2.277 1.856" Properties=species:S:1:pos:R:3 comment="TbEu2In PBE relaxed" relative_energy_ev_per_atom=0.0000 spacegroup="P4/mmm (123)" formation_energy_ev_per_atom=-0.20 pbc="T T T"
Eu -1.974 -1.138 0.928
Eu 0.745 -2.116 -1.011
Tb -2.571 -2.693 -2.248
In -1.342 0.562 -2.165

[10]
3
Lattice="3.624 0.000 0.000 0.000 5.394 0.000 0.000 -2.697 4.671" Properties=species:S:1:pos:R:3 comment="TbEuIn PBE relaxed" relative_energy_ev_per_atom=0.0386 spacegroup="P3m1 (156)" formation_energy_ev_per_atom=-0.22 pbc="T T T"
In 2.269 2.697 1.557
Tb 1.430 0.000 3.114
Eu 3.550 0.000 0.000

[11]
4
Lattice="-2.132 -4.950 -0.809 2.313 -4.371 2.290 -2.512 -2.586 4.086" Properties=species:S:1:pos:R:3 comment="TbEuIn2 PBE relaxed" relative_energy_ev_per_atom=0.0295 spacegroup="Fm-3m (225)" formation_energy_ev_per_atom=-0.45 pbc="T T T"
Eu 0.000 0.000 0.000
Tb -1.166 -5.953 2.783
In -0.583 -2.977 1.392
In -1.748 -8.930 4.175

[12]
4
Lattice="-3.177 1.928 0.384 -3.101 -1.724 1.169 0.349 2.183 10.112" Properties=species:S:1:pos:R:3 comment="TbEuIn2 PBE relaxed" relative_energy_ev_per_atom=0.1856 spacegroup="R-3m (166)" formation_energy_ev_per_atom=-0.29 pbc="T T T"
In -1.463 0.614 2.993
In -4.466 1.773 8.672
Tb -2.964 1.194 5.833
Eu 0.000 0.000 0.000